<A>
Compound: BaZr2Ag
Source: the Alexandria database
Functional: SCAN
Structure: PBEsol geometry

Computed properties:
**ρ**: 7.20 Mg/m³

Cell and atoms, written as CIF:
```
data_BaZr2Ag
_chemical_formula_sum 'Ba1 Zr2 Ag1'
_cell_length_a 4.3940
_cell_length_b 4.3940
_cell_length_c 5.9817
_cell_angle_alpha 111.55
_cell_angle_beta 111.55
_cell_angle_gamma 90.00
_symmetry_space_group_name_H-M 'P 1'
_symmetry_Int_Tables_number 1
loop_
_symmetry_equiv_pos_as_xyz
'x,y,z'
loop_
_atom_site_label
_atom_site_fract_x
_atom_site_fract_y
_atom_site_fract_z
Zr1 0.2500 0.7500 0.5000
Zr2 0.7500 0.2500 0.5000
Ba1 0.0000 0.0000 0.0000
Ag1 0.5000 0.5000 0.0000
```

=====

<B>
Compound: BaZr2Ag
Source: the Alexandria database
Functional: SCAN
Structure: PBEsol geometry

Computed properties:
**ρ**: 7.13 Mg/m³

Cell and atoms, written as CIF:
```
data_BaZr2Ag
_chemical_formula_sum 'Ba1 Zr2 Ag1'
_cell_length_a 3.1605
_cell_length_b 5.4106
_cell_length_c 6.6041
_cell_angle_alpha 113.92
_cell_angle_beta 103.42
_cell_angle_gamma 91.00
_symmetry_space_group_name_H-M 'P 1'
_symmetry_Int_Tables_number 1
loop_
_symmetry_equiv_pos_as_xyz
'x,y,z'
loop_
_atom_site_label
_atom_site_fract_x
_atom_site_fract_y
_atom_site_fract_z
Ba1 0.0000 0.5000 0.0000
Zr1 0.0000 0.0000 0.5000
Zr2 0.5000 0.5000 0.5000
Ag1 0.5000 0.0000 0.0000
```

=====

Most stable: <B> (next structure +8.7 kJ/mol of atoms)

=====

<A>
Compound: BaZrAg
Source: the Alexandria database
Functional: SCAN
Structure: PBEsol geometry

Computed properties:
**ρ**: 6.91 Mg/m³

Cell and atoms, written as CIF:
```
data_BaZrAg
_chemical_formula_sum 'Ba1 Zr1 Ag1'
_cell_length_a 3.4405
_cell_length_b 3.4405
_cell_length_c 7.8827
_cell_angle_alpha 90.00
_cell_angle_beta 90.00
_cell_angle_gamma 120.00
_symmetry_space_group_name_H-M 'P 1'
_symmetry_Int_Tables_number 1
loop_
_symmetry_equiv_pos_as_xyz
'x,y,z'
loop_
_atom_site_label
_atom_site_fract_x
_atom_site_fract_y
_atom_site_fract_z
Zr1 0.6667 0.3333 0.2936
Ba1 0.3333 0.6667 0.6780
Ag1 0.0000 0.0000 0.0284
```

=====

<B>
Compound: BaZrAg
Source: the Alexandria database
Functional: SCAN
Structure: PBEsol geometry

Computed properties:
**ρ**: 6.55 Mg/m³

Cell and atoms, written as CIF:
```
data_BaZrAg
_chemical_formula_sum 'Ba1 Zr1 Ag1'
_cell_length_a 4.9414
_cell_length_b 4.9414
_cell_length_c 4.9414
_cell_angle_alpha 60.00
_cell_angle_beta 60.00
_cell_angle_gamma 60.00
_symmetry_space_group_name_H-M 'P 1'
_symmetry_Int_Tables_number 1
loop_
_symmetry_equiv_pos_as_xyz
'x,y,z'
loop_
_atom_site_label
_atom_site_fract_x
_atom_site_fract_y
_atom_site_fract_z
Ag1 0.5000 0.5000 0.5000
Zr1 0.0000 0.0000 0.0000
Ba1 0.7500 0.7500 0.7500
```

=====

Most stable: <A> (next structure +79.2 kJ/mol of atoms)

=====

<A>
Compound: Be2Ag
Source: the Alexandria database
Functional: SCAN
Structure: PBEsol geometry

Computed properties:
**ρ**: 6.57 Mg/m³

Cell and atoms, written as CIF:
```
data_Be2Ag
_chemical_formula_sum 'Be8 Ag4'
_cell_length_a 4.5021
_cell_length_b 4.5021
_cell_length_c 7.2561
_cell_angle_alpha 90.00
_cell_angle_beta 90.00
_cell_angle_gamma 120.00
_symmetry_space_group_name_H-M 'P 1'
_symmetry_Int_Tables_number 1
loop_
_symmetry_equiv_pos_as_xyz
'x,y,z'
loop_
_atom_site_label
_atom_site_fract_x
_atom_site_fract_y
_atom_site_fract_z
Be1 0.3281 0.1641 0.2500
Be2 0.1641 0.3281 0.7500
Be3 0.6719 0.8359 0.7500
Be4 0.8359 0.1641 0.2500
Be5 0.1641 0.8359 0.7500
Be6 0.0000 0.0000 0.0000
Be7 0.0000 0.0000 0.5000
Be8 0.8359 0.6719 0.2500
Ag1 0.6667 0.3333 0.9408
Ag2 0.3333 0.6667 0.4408
Ag3 0.6667 0.3333 0.5592
Ag4 0.3333 0.6667 0.0592
```

=====

<B>
Compound: Be2Ag
Source: the Alexandria database
Functional: SCAN
Structure: PBEsol geometry

Computed properties:
**ρ**: 5.93 Mg/m³

Cell and atoms, written as CIF:
```
data_Be2Ag
_chemical_formula_sum 'Be2 Ag1'
_cell_length_a 2.6463
_cell_length_b 2.6463
_cell_length_c 5.8158
_cell_angle_alpha 90.00
_cell_angle_beta 90.00
_cell_angle_gamma 120.00
_symmetry_space_group_name_H-M 'P 1'
_symmetry_Int_Tables_number 1
loop_
_symmetry_equiv_pos_as_xyz
'x,y,z'
loop_
_atom_site_label
_atom_site_fract_x
_atom_site_fract_y
_atom_site_fract_z
Be1 0.6667 0.3333 0.6456
Be2 0.3333 0.6667 0.3544
Ag1 0.0000 0.0000 0.0000
```

=====

<C>
Compound: Be2Ag
Source: the Alexandria database
Functional: SCAN
Structure: PBEsol geometry

Computed properties:
**ρ**: 6.58 Mg/m³

Cell and atoms, written as CIF:
```
data_Be2Ag
_chemical_formula_sum 'Be4 Ag2'
_cell_length_a 4.4780
_cell_length_b 4.4780
_cell_length_c 4.4780
_cell_angle_alpha 60.00
_cell_angle_beta 60.00
_cell_angle_gamma 60.00
_symmetry_space_group_name_H-M 'P 1'
_symmetry_Int_Tables_number 1
loop_
_symmetry_equiv_pos_as_xyz
'x,y,z'
loop_
_atom_site_label
_atom_site_fract_x
_atom_site_fract_y
_atom_site_fract_z
Be1 0.6250 0.1250 0.1250
Be2 0.1250 0.6250 0.1250
Be3 0.1250 0.1250 0.1250
Be4 0.1250 0.1250 0.6250
Ag1 0.5000 0.5000 0.5000
Ag2 0.7500 0.7500 0.7500
```

=====

<D>
Compound: Be2Ag
Source: the Alexandria database
Functional: SCAN
Structure: PBEsol geometry

Computed properties:
**ρ**: 5.95 Mg/m³

Cell and atoms, written as CIF:
```
data_Be2Ag
_chemical_formula_sum 'Be4 Ag2'
_cell_length_a 4.1744
_cell_length_b 4.1744
_cell_length_c 4.9986
_cell_angle_alpha 114.68
_cell_angle_beta 114.68
_cell_angle_gamma 90.00
_symmetry_space_group_name_H-M 'P 1'
_symmetry_Int_Tables_number 1
loop_
_symmetry_equiv_pos_as_xyz
'x,y,z'
loop_
_atom_site_label
_atom_site_fract_x
_atom_site_fract_y
_atom_site_fract_z
Be1 0.1773 0.6773 0.0000
Be2 0.8227 0.3227 0.0000
Be3 0.6773 0.8227 0.0000
Be4 0.3227 0.1773 0.0000
Ag1 0.7500 0.7500 0.5000
Ag2 0.2500 0.2500 0.5000
```

=====

Most stable: <C> (next structure +3.3 kJ/mol of atoms)

=====

<A>
Compound: BeAg5
Source: the Alexandria database
Functional: SCAN
Structure: PBEsol geometry

Computed properties:
**ρ**: 9.97 Mg/m³

Cell and atoms, written as CIF:
```
data_BeAg5
_chemical_formula_sum 'Be1 Ag5'
_cell_length_a 2.8993
_cell_length_b 5.1002
_cell_length_c 6.9112
_cell_angle_alpha 110.27
_cell_angle_beta 90.00
_cell_angle_gamma 106.51
_symmetry_space_group_name_H-M 'P 1'
_symmetry_Int_Tables_number 1
loop_
_symmetry_equiv_pos_as_xyz
'x,y,z'
loop_
_atom_site_label
_atom_site_fract_x
_atom_site_fract_y
_atom_site_fract_z
Ag1 0.9788 0.9576 0.4162
Ag2 0.6322 0.2644 0.8059
Ag3 0.6675 0.3349 0.2522
Ag4 0.9440 0.8881 0.9706
Ag5 0.3056 0.6113 0.6114
Be1 0.3052 0.6104 0.1103
```

=====

<B>
Compound: BeAg5
Source: the Alexandria database
Functional: SCAN
Structure: PBEsol geometry

Computed properties:
**ρ**: 8.26 Mg/m³

Cell and atoms, written as CIF:
```
data_BeAg5
_chemical_formula_sum 'Be1 Ag5'
_cell_length_a 4.7079
_cell_length_b 5.1991
_cell_length_c 5.1991
_cell_angle_alpha 120.00
_cell_angle_beta 90.00
_cell_angle_gamma 90.00
_symmetry_space_group_name_H-M 'P 1'
_symmetry_Int_Tables_number 1
loop_
_symmetry_equiv_pos_as_xyz
'x,y,z'
loop_
_atom_site_label
_atom_site_fract_x
_atom_site_fract_y
_atom_site_fract_z
Ag1 0.0000 0.6667 0.3333
Ag2 0.5000 0.0000 0.5000
Ag3 0.5000 0.5000 0.0000
Ag4 0.0000 0.3333 0.6667
Ag5 0.5000 0.5000 0.5000
Be1 0.0000 0.0000 0.0000
```

=====

Most stable: <A> (next structure +43.0 kJ/mol of atoms)